Compound: ZnP2Au
Source: Alexandria via LeMat-Bulk
Functional: PBE-GGA
Structure: relaxed

Calculated values
Crystal system: orthorhombic
ΔH_f (0 K) in meV per atom: 378
Spin magnetization in μB per atom: 0.00
N(E_F) in states/eV per cell: 2.7

a b c (Å): 3.051 4.796 9.887
angles (deg): 90.00 90.00 90.00
Space group Cmm2 (No. 35)
One atom of each set of equivalent atoms:
1 Zn 0.000 0.000 0.000 (multiplicity 2)
2 P 0.000 0.000 0.454 (multiplicity 2)
3 P 0.000 0.500 0.290 (multiplicity 2)
4 Au 0.000 0.500 0.764 (multiplicity 2)